The following is a DFT calculation (PBEsol) of a geometry-optimized SrLa2Pd2 structure.

As for the excess energy over the best structure of this formula in the dataset: 0.0 meV per atom. The magnetic moment is 0.0 μB/f.u. The formation energy is -0.55 eV per atom.

Cell: 8.1109 8.1109 4.0938 Å, 90.00 90.00 90.00°
With the nearest neighbours (Å) after each atom.
Space group P4/mbm (No. 127)
Asymmetric unit:
Sr 0.0000 0.0000 0.0000 (multiplicity 2)  4 Pd 3.18
La 0.1577 0.3423 0.5000 (multiplicity 4)  6 Pd 3.11-3.19
Pd 0.1293 0.6293 0.0000 (multiplicity 4)  1 Pd 2.97, 6 La 3.11-3.19, 2 Sr 3.18